LaGe2Mo: optimized geometry, GGA-PBE.

Output
For the total energy, the calculation gives -6.26 eV per atom. For the energy above the lowest structure with this stoichiometry, the calculation gives 0.2445 eV/atom. The volume is 26.604 A^3/atom.

Lattice parameters (Å, degrees): 5.060 5.060 16.624 90.00 90.00 90.00
Space group I-42d (No. 122)
Symmetry-distinct sites (fractional):
La 0.000 0.000 0.000 (multiplicity 4)
Ge 0.035 0.250 0.625 (multiplicity 8)
Mo 0.000 0.000 0.500 (multiplicity 4)

---

CuIrRu2: optimized geometry, GGA-PBE.

Output
For the total energy, the calculation gives -7.54 eV per atom. For the energy above the lowest structure with this stoichiometry, the calculation gives 0.2090 eV/atom. The volume is 13.718 A^3/atom.

Lattice parameters (Å, degrees): 2.849 4.372 8.809 90.00 90.00 90.00
Space group Immm (No. 71)
Symmetry-distinct sites (fractional):
Cu 0.000 0.000 0.000 (multiplicity 2)
Ir 0.000 0.000 0.500 (multiplicity 2)
Ru 0.000 0.500 0.265 (multiplicity 4)

---

What did the second record say?
CuIrRu2: optimized geometry, GGA-PBE.

Output
For the total energy, the calculation gives -7.54 eV per atom. For the energy above the lowest structure with this stoichiometry, the calculation gives 0.2090 eV/atom. The volume is 13.718 A^3/atom.

Lattice parameters (Å, degrees): 2.849 4.372 8.809 90.00 90.00 90.00
Space group Immm (No. 71)
Symmetry-distinct sites (fractional):
Cu 0.000 0.000 0.000 (multiplicity 2)
Ir 0.000 0.000 0.500 (multiplicity 2)
Ru 0.000 0.500 0.265 (multiplicity 4)

---

- Among the records above, which one has the highest volume?
  LaGe2Mo

---

- total energy of number 2 (CuIrRu2)?
  -7.54 eV per atom

---

- What is the formula in the second record?
  CuIrRu2